# 1
3
Lattice="3.246 0.000 0.000 0.000 5.019 0.000 0.000 -2.509 4.346" Properties=species:S:1:pos:R:3 comment="NaInGa | Alexandria | PBE | optimized geometry" space_group="No. 187" e_above_lowest_polymorph_ev_per_atom=0.044 delta_e_f_ev_per_atom=-0.092 pbc="T T T"
Ga 0.538 2.509 1.449
Na 2.165 0.000 2.898
In 0.543 0.000 0.000

# 2
7
Lattice="4.234 0.000 -0.965 -0.233 4.374 -1.022 -0.205 -0.252 8.869" Properties=species:S:1:pos:R:3 comment="NaIn2Ga4 | Alexandria | PBE | optimized geometry" space_group="No. 71" e_above_lowest_polymorph_ev_per_atom=0.000 delta_e_f_ev_per_atom=-0.060 pbc="T T T"
Ga 0.153 2.477 0.670
In 0.645 0.695 2.830
Ga 2.565 2.795 1.481
Ga 1.231 1.327 5.400
In 3.151 3.427 4.052
Na 2.117 0.000 -0.483
Ga 3.643 1.645 6.211

# 3
8
Lattice="4.921 0.000 0.000 0.000 4.921 0.000 0.000 0.000 8.523" Properties=species:S:1:pos:R:3 comment="NaIn4Ga3 | Alexandria | PBE | optimized geometry" space_group="No. 123" delta_e_f_ev_per_atom=-0.036 pbc="T T T"
In 2.461 0.000 1.596
In 2.461 0.000 6.927
In 0.000 2.461 1.596
Ga 2.461 2.461 3.016
In 0.000 2.461 6.927
Ga 2.461 2.461 5.506
Ga 0.000 0.000 0.000
Na 0.000 0.000 4.261

# 4
20
Lattice="6.710 0.000 0.000 3.355 9.091 -1.017 3.355 1.432 9.035" Properties=species:S:1:pos:R:3 comment="Na3In5Ga2 | Alexandria | PBE | optimized geometry" space_group="No. 72" delta_e_f_ev_per_atom=-0.028 pbc="T T T"
In 11.743 7.961 6.066
In 8.388 5.262 4.009
In 3.355 5.042 1.455
In 10.066 5.481 6.563
Na 1.678 0.000 0.000
In 6.710 7.782 3.543
Ga 10.066 3.913 8.733
Na 6.710 4.670 7.501
Ga 6.710 1.065 6.563
Na 5.033 0.000 0.000
Ga 6.710 9.459 1.455
Na 6.710 5.854 0.517
In 5.033 2.563 1.953
In 8.388 7.961 6.066
In 6.710 2.741 4.475
In 5.033 5.262 4.009
Ga 3.355 6.611 -0.715
In 1.678 2.563 1.953
Na 3.355 2.052 5.506
Na 10.066 8.471 2.512

# 5
18
Lattice="6.258 0.000 0.000 0.000 6.258 0.000 0.000 0.000 11.113" Properties=species:S:1:pos:R:3 comment="NaIn4Ga4 | Alexandria | PBE | optimized geometry" space_group="No. 137" delta_e_f_ev_per_atom=-0.016 pbc="T T T"
Ga 1.816 0.000 5.053
In 1.579 0.000 8.037
Ga 0.000 4.442 6.059
In 4.708 3.129 8.632
Na 0.000 0.000 0.000
In 4.679 0.000 8.037
In 0.000 1.579 3.076
Ga 4.442 0.000 5.053
Na 3.129 3.129 5.556
In 1.550 3.129 8.632
Ga 3.129 4.945 10.609
Ga 4.945 3.129 0.503
Ga 1.313 3.129 0.503
In 3.129 1.550 2.481
In 3.129 4.708 2.481
In 0.000 4.679 3.076
Ga 0.000 1.816 6.059
Ga 3.129 1.313 10.609

# 6
9
Lattice="6.055 0.001 0.000 3.029 5.246 0.000 -0.001 0.001 6.134" Properties=species:S:1:pos:R:3 comment="Na2InGa6 | Alexandria | PBE | optimized geometry" space_group="No. 164" delta_e_f_ev_per_atom=-0.095 pbc="T T T"
Ga 6.056 1.912 3.990
In 0.000 0.000 0.000
Ga 4.402 0.956 2.146
Ga 7.429 4.292 3.990
Ga 1.654 0.956 2.145
Na 3.028 1.749 5.323
Ga 3.028 3.336 2.145
Ga 4.681 4.292 3.988
Na 6.056 3.499 0.812